(1)
Here is crystalline Pa2Ni9Pt at its relaxed geometry from Alexandria. Energies are from PBE.

Cell and atoms, written as CIF:
```
data_Pa2Ni9Pt
_chemical_formula_sum 'Pa6 Ni27 Pt3'
_cell_length_a 4.9016
_cell_length_b 4.9016
_cell_length_c 23.8918
_cell_angle_alpha 90.00
_cell_angle_beta 90.00
_cell_angle_gamma 120.00
_symmetry_space_group_name_H-M 'R -3 m'
_symmetry_Int_Tables_number 166
_symmetry_space_group_name_Hall '-R 3 2"'
loop_
_atom_site_label
_atom_site_type_symbol
_atom_site_fract_x
_atom_site_fract_y
_atom_site_fract_z
_atom_site_occupancy
Pa1 Pa 0.0000 0.0000 0.1272 1
Ni1 Ni 0.0000 0.0000 0.3334 1
Ni2 Ni 0.0000 0.0000 0.5000 1
Ni3 Ni 0.0033 0.5016 0.9167 1
Pt1 Pt 0.0000 0.0000 0.0000 1
```

Results
formation enthalpy at 0 K = -271 meV/atom
ρ = 11.9 Mg/m³
energy above the most stable polymorph in this dataset = 0.16 eV/f.u.
size of the total moment = 0.00 Bohr magnetons per cell
DOS(E_F) = 29.11 states/eV per cell


(2)
Here is crystalline CaSc2TlC at its relaxed geometry from Alexandria. Energies are from PBE.

Cell and atoms, written as CIF:
```
data_CaSc2TlC
_chemical_formula_sum 'Ca1 Sc2 Tl1 C1'
_cell_length_a 4.583
_cell_length_b 4.583
_cell_length_c 5.028
_cell_angle_alpha 90.00
_cell_angle_beta 90.00
_cell_angle_gamma 90.00
_symmetry_space_group_name_H-M 'P 4/m m m'
_symmetry_Int_Tables_number 123
_symmetry_space_group_name_Hall '-P 4 2'
loop_
_atom_site_label
_atom_site_type_symbol
_atom_site_fract_x
_atom_site_fract_y
_atom_site_fract_z
_atom_site_occupancy
Ca1 Ca 0.000 0.000 0.000 1
Sc1 Sc 0.000 0.500 0.500 1
Tl1 Tl 0.500 0.500 0.000 1
C1 C 0.000 0.000 0.500 1
```

Results
formation enthalpy at 0 K = -341 meV/atom
ρ = 5.4 Mg/m³
size of the total moment = 0.00 Bohr magnetons per cell
DOS(E_F) = 4.77 states/eV per cell


(3)
Here is crystalline Sr3F at its relaxed geometry from Alexandria. Energies are from PBE.

Cell and atoms, written as CIF:
```
data_Sr3F
_chemical_formula_sum 'Sr6 F2'
_cell_length_a 3.810
_cell_length_b 7.596
_cell_length_c 11.222
_cell_angle_alpha 90.00
_cell_angle_beta 90.00
_cell_angle_gamma 90.00
_symmetry_space_group_name_H-M 'I m m m'
_symmetry_Int_Tables_number 71
_symmetry_space_group_name_Hall '-I 2 2'
loop_
_atom_site_label
_atom_site_type_symbol
_atom_site_fract_x
_atom_site_fract_y
_atom_site_fract_z
_atom_site_occupancy
Sr1 Sr 0.000 0.000 0.000 1
Sr2 Sr 0.000 0.500 0.165 1
F1 F 0.000 0.000 0.500 1
```

Results
formation energy without anion corrections = -1.1923 eV/atom
ρ = 2.9 Mg/m³
size of the total moment = 0.00 Bohr magnetons per cell
DOS(E_F) = 6.99 states/eV per cell


(4)
Here is crystalline NbP3I at its relaxed geometry from Alexandria. Energies are from PBE.

Cell and atoms, written as CIF:
```
data_NbP3I
_chemical_formula_sum 'Nb1 P3 I1'
_cell_length_a 4.893
_cell_length_b 4.893
_cell_length_c 4.893
_cell_angle_alpha 90.00
_cell_angle_beta 90.00
_cell_angle_gamma 90.00
_symmetry_space_group_name_H-M 'P m -3 m'
_symmetry_Int_Tables_number 221
_symmetry_space_group_name_Hall '-P 4 2 3'
loop_
_atom_site_label
_atom_site_type_symbol
_atom_site_fract_x
_atom_site_fract_y
_atom_site_fract_z
_atom_site_occupancy
Nb1 Nb 0.000 0.000 0.000 1
P1 P 0.000 0.000 0.500 1
I1 I 0.500 0.500 0.500 1
```

Results
formation energy without anion corrections = 0.4354 eV/atom
ρ = 4.4 Mg/m³
energy above the most stable polymorph in this dataset = 0.00 eV/f.u.
size of the total moment = 0.00 Bohr magnetons per cell
DOS(E_F) = 2.96 states/eV per cell


(5)
Here is crystalline Pr2DyEr at its relaxed geometry from Alexandria. Energies are from PBE.

Cell and atoms, written as CIF:
```
data_Pr2DyEr
_chemical_formula_sum 'Pr8 Dy4 Er4'
_cell_length_a 8.143
_cell_length_b 8.143
_cell_length_c 8.143
_cell_angle_alpha 90.00
_cell_angle_beta 90.00
_cell_angle_gamma 90.00
_symmetry_space_group_name_H-M 'F m -3 m'
_symmetry_Int_Tables_number 225
_symmetry_space_group_name_Hall '-F 4 2 3'
loop_
_atom_site_label
_atom_site_type_symbol
_atom_site_fract_x
_atom_site_fract_y
_atom_site_fract_z
_atom_site_occupancy
Pr1 Pr 0.250 0.250 0.250 1
Dy1 Dy 0.000 0.000 0.000 1
Er1 Er 0.000 0.000 0.500 1
```

Results
formation enthalpy at 0 K = 104 meV/atom
ρ = 7.5 Mg/m³
energy above the most stable polymorph in this dataset = 0.34 eV/f.u.
size of the total moment = 0.00 Bohr magnetons per cell
DOS(E_F) = 29.00 states/eV per cell


(6)
Here is crystalline V2HgH at its relaxed geometry from Alexandria. Energies are from PBE.

Cell and atoms, written as CIF:
```
data_V2HgH
_chemical_formula_sum 'V8 Hg4 H4'
_cell_length_a 6.107
_cell_length_b 6.107
_cell_length_c 6.107
_cell_angle_alpha 90.00
_cell_angle_beta 90.00
_cell_angle_gamma 90.00
_symmetry_space_group_name_H-M 'F m -3 m'
_symmetry_Int_Tables_number 225
_symmetry_space_group_name_Hall '-F 4 2 3'
loop_
_atom_site_label
_atom_site_type_symbol
_atom_site_fract_x
_atom_site_fract_y
_atom_site_fract_z
_atom_site_occupancy
V1 V 0.250 0.250 0.250 1
Hg1 Hg 0.000 0.000 0.000 1
H1 H 0.000 0.000 0.500 1
```

Results
ρ = 8.9 Mg/m³
energy above the most stable polymorph in this dataset = 2.38 eV/f.u.
size of the total moment = 3.19 Bohr magnetons per cell
DOS(E_F) = 15.37 states/eV per cell


(7)
Here is crystalline BaCo3W at its relaxed geometry from Alexandria. Energies are from PBE.

Cell and atoms, written as CIF:
```
data_BaCo3W
_chemical_formula_sum 'Ba1 Co3 W1'
_cell_length_a 4.652
_cell_length_b 4.652
_cell_length_c 4.652
_cell_angle_alpha 90.00
_cell_angle_beta 90.00
_cell_angle_gamma 90.00
_symmetry_space_group_name_H-M 'P m -3 m'
_symmetry_Int_Tables_number 221
_symmetry_space_group_name_Hall '-P 4 2 3'
loop_
_atom_site_label
_atom_site_type_symbol
_atom_site_fract_x
_atom_site_fract_y
_atom_site_fract_z
_atom_site_occupancy
Ba1 Ba 0.000 0.000 0.000 1
Co1 Co 0.000 0.500 0.500 1
W1 W 0.500 0.500 0.500 1
```

Results
formation enthalpy at 0 K = 953 meV/atom
ρ = 8.2 Mg/m³
energy above the most stable polymorph in this dataset = 0.00 eV/f.u.
size of the total moment = 0.00 Bohr magnetons per cell
DOS(E_F) = 6.42 states/eV per cell


(8)
Here is crystalline Pr3DyEr4 at its relaxed geometry from Alexandria. Energies are from PBE.

Cell and atoms, written as CIF:
```
data_Pr3DyEr4
_chemical_formula_sum 'Pr6 Dy2 Er8'
_cell_length_a 11.483
_cell_length_b 7.323
_cell_length_c 6.293
_cell_angle_alpha 90.00
_cell_angle_beta 90.00
_cell_angle_gamma 90.00
_symmetry_space_group_name_H-M 'P m n 21'
_symmetry_Int_Tables_number 31
loop_
_symmetry_equiv_pos_as_xyz
'x,y,z'
'-x+1/2,-y,z+1/2'
'-x,y,z'
'x+1/2,-y,z+1/2'
loop_
_atom_site_label
_atom_site_type_symbol
_atom_site_fract_x
_atom_site_fract_y
_atom_site_fract_z
_atom_site_occupancy
Pr1 Pr 0.000 0.128 0.000 1
Pr2 Pr 0.249 0.128 0.337 1
Dy1 Dy 0.000 0.868 0.500 1
Er1 Er 0.000 0.380 0.501 1
Er2 Er 0.000 0.620 0.003 1
Er3 Er 0.248 0.620 0.336 1
```

Results
formation enthalpy at 0 K = 26 meV/atom
ρ = 7.9 Mg/m³
energy above the most stable polymorph in this dataset = 0.00 eV/f.u.
size of the total moment = 0.01 Bohr magnetons per cell
DOS(E_F) = 28.69 states/eV per cell


(9)
Here is crystalline AcSnSO2 at its relaxed geometry from Alexandria. Energies are from PBE.

Cell and atoms, written as CIF:
```
data_AcSnSO2
_chemical_formula_sum 'Ac2 Sn2 S2 O4'
_cell_length_a 7.311
_cell_length_b 4.317
_cell_length_c 7.922
_cell_angle_alpha 90.00
_cell_angle_beta 117.43
_cell_angle_gamma 90.00
_symmetry_space_group_name_H-M 'P 1 21/m 1'
_symmetry_Int_Tables_number 11
loop_
_symmetry_equiv_pos_as_xyz
'x,y,z'
'-x,-y,-z'
'-x,y+1/2,-z'
'x,-y+1/2,z'
loop_
_atom_site_label
_atom_site_type_symbol
_atom_site_fract_x
_atom_site_fract_y
_atom_site_fract_z
_atom_site_occupancy
Ac1 Ac 0.205 0.250 0.459 1
Sn1 Sn 0.159 0.250 0.952 1
S1 S 0.494 0.750 0.719 1
O1 O 0.005 0.750 0.360 1
O2 O 0.041 0.750 0.914 1
```

Results
formation energy without anion corrections = -1.9599 eV/atom
ρ = 6.1 Mg/m³
size of the total moment = 0.08 Bohr magnetons per cell
DOS(E_F) = 6.18 states/eV per cell


(10)
Here is crystalline LiMnTlCl4 at its relaxed geometry from Alexandria. Energies are from PBE.

Cell and atoms, written as CIF:
```
data_LiMnTlCl4
_chemical_formula_sum 'Li2 Mn2 Tl2 Cl8'
_cell_length_a 6.311
_cell_length_b 7.720
_cell_length_c 8.527
_cell_angle_alpha 90.00
_cell_angle_beta 102.70
_cell_angle_gamma 90.00
_symmetry_space_group_name_H-M 'P 1 21/m 1'
_symmetry_Int_Tables_number 11
loop_
_symmetry_equiv_pos_as_xyz
'x,y,z'
'-x,-y,-z'
'-x,y+1/2,-z'
'x,-y+1/2,z'
loop_
_atom_site_label
_atom_site_type_symbol
_atom_site_fract_x
_atom_site_fract_y
_atom_site_fract_z
_atom_site_occupancy
Li1 Li 0.204 0.250 0.323 1
Mn1 Mn 0.292 0.750 0.677 1
Tl1 Tl 0.290 0.250 0.899 1
Cl1 Cl 0.014 0.250 0.536 1
Cl2 Cl 0.112 0.750 0.895 1
Cl3 Cl 0.450 0.024 0.273 1
```

Results
formation energy without anion corrections = -1.2510 eV/atom
ρ = 3.3 Mg/m³
size of the total moment = 10.00 Bohr magnetons per cell
DOS(E_F) = 0.00 states/eV per cell


(11)
Here is crystalline Pr8Zn3GeI4 at its relaxed geometry from Alexandria. Energies are from PBE.

Cell and atoms, written as CIF:
```
data_Pr8Zn3GeI4
_chemical_formula_sum 'Pr16 Zn6 Ge2 I8'
_cell_length_a 15.066
_cell_length_b 8.710
_cell_length_c 9.227
_cell_angle_alpha 90.00
_cell_angle_beta 122.92
_cell_angle_gamma 90.00
_symmetry_space_group_name_H-M 'C 1 2/m 1'
_symmetry_Int_Tables_number 12
loop_
_symmetry_equiv_pos_as_xyz
'x,y,z'
'-x,-y,-z'
'-x,y,-z'
'x,-y,z'
'x+1/2,y+1/2,z'
'-x+1/2,-y+1/2,-z'
'-x+1/2,y+1/2,-z'
'x+1/2,-y+1/2,z'
loop_
_atom_site_label
_atom_site_type_symbol
_atom_site_fract_x
_atom_site_fract_y
_atom_site_fract_z
_atom_site_occupancy
Pr1 Pr 0.012 0.248 0.288 1
Pr2 Pr 0.236 0.000 0.713 1
Pr3 Pr 0.239 0.500 0.718 1
Zn1 Zn 0.000 0.500 0.500 1
Zn2 Zn 0.250 0.250 0.500 1
Ge1 Ge 0.000 0.000 0.500 1
I1 I 0.000 0.000 0.000 1
I2 I 0.000 0.500 0.000 1
I3 I 0.250 0.250 0.000 1
```

Results
formation energy without anion corrections = -0.6724 eV/atom
ρ = 6.2 Mg/m³
size of the total moment = 0.00 Bohr magnetons per cell
DOS(E_F) = 31.20 states/eV per cell


Number 1: calculated volume 166 Å³/f.u., electronic total energy -6.693 eV/atom. Number 2: calculated volume 106 Å³/f.u., electronic total energy -5.592 eV/atom. Number 3: calculated volume 162 Å³/f.u., electronic total energy -2.921 eV/atom. Number 4: calculated volume 117 Å³/f.u., electronic total energy -5.134 eV/atom. Number 5: calculated volume 135 Å³/f.u., electronic total energy -4.577 eV/atom. Number 6: calculated volume 57 Å³/f.u., electronic total energy -4.537 eV/atom. Number 7: calculated volume 101 Å³/f.u., electronic total energy -6.286 eV/atom. Number 8: calculated volume 265 Å³/f.u., electronic total energy -4.623 eV/atom. Number 9: calculated volume 111 Å³/f.u., electronic total energy -6.391 eV/atom. Number 10: calculated volume 203 Å³/f.u., electronic total energy -4.228 eV/atom. Number 11: calculated volume 508 Å³/f.u., electronic total energy -3.977 eV/atom.